Below is a geometry-optimized Nd12Dy5Tm structure, with properties calculated at the PBE level.

Structure (POSCAR):
```
Nd12Dy5Tm
1.0
15.3769 -0.0096 0.0134
7.6835 7.7105 0.0067
-0.0043 0.0000 5.1459
Nd Dy Tm
12 5 1
Cartesian
12.8459 -0.0071 2.5839 Nd
10.2104 7.7081 2.5820 Nd
17.9121 7.7034 5.1614 Nd
5.1442 -0.0024 0.0046 Nd
10.2195 5.1379 0.0089 Nd
5.1469 5.1428 5.1504 Nd
17.9095 2.5581 0.0156 Nd
12.8368 2.5630 5.1570 Nd
10.2246 2.5643 2.5819 Nd
17.9117 5.1317 2.5886 Nd
5.1446 2.5693 2.5774 Nd
12.8317 5.1366 2.5841 Nd
7.6864 -0.0048 2.5796 Dy
7.6831 5.1419 2.5796 Dy
15.3732 2.5591 2.5863 Dy
15.3736 5.1364 0.0134 Dy
7.6870 2.5645 0.0067 Dy
0.0001 0.0000 0.0000 Tm
```

Results
V in Å³/atom: 33.92
ΔE_f in meV/atom: 19.8
Uncorrected energy in eV per cell: -84.34
Magnetic moment in μB per atom: 0.000